[1]
# GGA-PBE Pm8Rh5F, relaxed
# Formation energy (no corrections)   -12.6 eV/f.u.
# Calculated volume   684 Å³ per cell
# Energy   -89.24 eV/f.u.
# Magnetization   0.0 μB/f.u.
data_Pm8Rh5F
_cell_length_a 8.672
_cell_length_b 8.672
_cell_length_c 9.089
_cell_angle_alpha 90.00
_cell_angle_beta 90.00
_cell_angle_gamma 90.00
_space_group_name_H-M_alt 'I -4'
_space_group_IT_number 82
loop_
_space_group_symop_operation_xyz
'x,y,z'
'y,-x,-z'
'-x,-y,z'
'-y,x,-z'
'x+1/2,y+1/2,z+1/2'
'y+1/2,-x+1/2,-z+1/2'
'-x+1/2,-y+1/2,z+1/2'
'-y+1/2,x+1/2,-z+1/2'
loop_
_atom_site_label
_atom_site_type_symbol
_atom_site_fract_x
_atom_site_fract_y
_atom_site_fract_z
Pm1 Pm 0.052 0.201 0.305
Pm2 Pm 0.063 0.303 0.909
Rh1 Rh 0.000 0.000 0.000
Rh2 Rh 0.114 0.243 0.608
F1 F 0.000 0.500 0.250


[2]
# GGA-PBE PmRhF, relaxed
# Formation energy (no corrections)   -5.9 eV/f.u.
# Calculated volume   229 Å³ per cell
# Energy   -19.89 eV/f.u.
# Magnetization   0.0 μB/f.u.
data_PmRhF
_cell_length_a 5.515
_cell_length_b 5.731
_cell_length_c 7.286
_cell_angle_alpha 90.00
_cell_angle_beta 95.90
_cell_angle_gamma 90.00
_space_group_name_H-M_alt 'C 1 2/m 1'
_space_group_IT_number 12
loop_
_space_group_symop_operation_xyz
'x,y,z'
'-x,-y,-z'
'-x,y,-z'
'x,-y,z'
'x+1/2,y+1/2,z'
'-x+1/2,-y+1/2,-z'
'-x+1/2,y+1/2,-z'
'x+1/2,-y+1/2,z'
loop_
_atom_site_label
_atom_site_type_symbol
_atom_site_fract_x
_atom_site_fract_y
_atom_site_fract_z
Pm1 Pm 0.218 0.000 0.284
Rh1 Rh 0.000 0.276 0.000
F1 F 0.000 0.248 0.500


[3]
# GGA-PBE Pm6Rh3F, relaxed
# Formation energy (no corrections)   -9.9 eV/f.u.
# Calculated volume   1070 Å³ per cell
# Energy   -62.32 eV/f.u.
# Magnetization   0.0 μB/f.u.
data_Pm6Rh3F
_cell_length_a 11.138
_cell_length_b 14.041
_cell_length_c 6.843
_cell_angle_alpha 90.00
_cell_angle_beta 90.00
_cell_angle_gamma 90.00
_space_group_name_H-M_alt 'C m c 21'
_space_group_IT_number 36
loop_
_space_group_symop_operation_xyz
'x,y,z'
'-x,-y,z+1/2'
'-x,y,z'
'x,-y,z+1/2'
'x+1/2,y+1/2,z'
'-x+1/2,-y+1/2,z+1/2'
'-x+1/2,y+1/2,z'
'x+1/2,-y+1/2,z+1/2'
loop_
_atom_site_label
_atom_site_type_symbol
_atom_site_fract_x
_atom_site_fract_y
_atom_site_fract_z
Pm1 Pm 0.000 0.044 0.000
Pm2 Pm 0.000 0.226 0.471
Pm3 Pm 0.166 0.278 0.929
Pm4 Pm 0.170 0.470 0.449
Rh1 Rh 0.000 0.396 0.730
Rh2 Rh 0.166 0.109 0.672
F1 F 0.000 0.211 0.114